Record 1
VASP calculation (PBE) on a geometry-optimized AcAsHRh structure.

Calculated values
The calculation puts the size of the total moment at 0.00 μB per formula unit. The density is 8.437 Mg/m³. The total energy comes out at -0.2051 Ha/atom.

abc: 4.2141 4.2141 10.3871
angles: 90.00 90.00 120.00
Space group P6_3mc (No. 186)
One atom of each set of equivalent atoms:
Ac 0.3333 0.6667 0.0000 (multiplicity 2)
As 0.3333 0.6667 0.6936 (multiplicity 2)
H 0.0000 0.0000 0.4172 (multiplicity 2)
Rh 0.0000 0.0000 0.2503 (multiplicity 2)

---

Record 2
VASP calculation (PBE) on a geometry-optimized Ac2As2H4Ru structure.

Calculated values
The calculation puts the size of the total moment at 0.00 μB per formula unit. The density is 7.938 Mg/m³. The total energy comes out at -0.1812 Ha/atom.

abc: 6.1237 6.1237 7.9100
angles: 90.00 90.00 90.00
Space group I4/mmm (No. 139)
One atom of each set of equivalent atoms:
Ac 0.0000 0.5000 0.2500 (multiplicity 4)
As 0.0000 0.0000 0.1735 (multiplicity 4)
H 0.2001 0.2001 0.5000 (multiplicity 8)
Ru 0.0000 0.0000 0.5000 (multiplicity 2)

---

Record 3
VASP calculation (PBE) on a geometry-optimized SrAcAsH structure.

Calculated values
The calculation puts the size of the total moment at 0.00 μB per formula unit. The density is 6.450 Mg/m³. The total energy comes out at -0.1491 Ha/atom.

abc: 7.3815 7.3815 7.3815
angles: 90.00 90.00 90.00
Space group F-43m (No. 216)
One atom of each set of equivalent atoms:
Sr 0.0000 0.0000 0.0000 (multiplicity 4)
Ac 0.0000 0.0000 0.5000 (multiplicity 4)
As 0.2500 0.2500 0.7500 (multiplicity 4)
H 0.2500 0.2500 0.2500 (multiplicity 4)

---

Record 4
VASP calculation (PBE) on a geometry-optimized Ac3Hf5As12 structure.

Calculated values
The calculation puts the size of the total moment at 0.00 μB per formula unit. The density is 7.040 Mg/m³. The calculated formation energy is -0.510 eV/atom. The total energy comes out at -0.2353 Ha/atom.

abc: 16.7094 16.7094 16.7094
angles: 90.00 90.00 90.00
Space group Ia-3d (No. 230)
One atom of each set of equivalent atoms:
Ac 0.0000 0.2500 0.1250 (multiplicity 24)
Hf 0.0000 0.0000 0.0000 (multiplicity 16)
Hf 0.0000 0.2500 0.3750 (multiplicity 24)
As 0.0330 0.0644 0.6455 (multiplicity 96)